First-principles (PBE-GGA) data for a relaxed structure of MgReNi2, as listed in Alexandria.

Properties
Raw total energy, eV per atom: -6.2501

Geometry as POSCAR:
```
MgReNi2
1.0
4.222 -1.312 0.000
4.222 1.312 0.000
-0.539 0.000 4.977
Mg Re Ni
1 1 2
direct
0.000 0.000 0.000
0.500 0.500 0.500
0.247 0.247 0.718
0.753 0.753 0.282
```